No. 1
Nd2SiRu2 after structural relaxation. Source: Alexandria, functional PBE-GGA.

Cell lengths 5.928, 5.928, 7.372 Å; angles 100.95, 100.95, 56.59 degrees
Element x y z (fractional)
Nd 0.006 0.282 0.143
Nd 0.282 0.006 0.643
Nd 0.718 0.994 0.357
Nd 0.994 0.718 0.857
Si 0.410 0.590 0.250
Si 0.590 0.410 0.750
Ru 0.234 0.506 0.486
Ru 0.494 0.766 0.014
Ru 0.506 0.234 0.986
Ru 0.766 0.494 0.514

Formation energy from raw total energies: -2.38 eV per formula unit
DOS(E_F): 6.63 states/eV/cell



No. 2
Hf2NbIn2 after structural relaxation. Source: Alexandria, functional PBE-GGA.

Cell lengths 16.187, 3.710, 3.712 Å; angles 90.00, 102.99, 90.00 degrees
Element x y z (fractional)
Hf 0.091 0.000 0.090
Hf 0.409 0.500 0.910
Hf 0.591 0.500 0.090
Hf 0.909 0.000 0.910
Nb 0.000 0.500 0.500
Nb 0.500 0.000 0.500
In 0.200 0.500 0.697
In 0.300 0.000 0.303
In 0.700 0.000 0.697
In 0.800 0.500 0.303

DOS(E_F): 7.36 states/eV/cell
Energy above the most stable polymorph in this dataset: 0.000 eV per atom



No. 3
CePrPu2 after structural relaxation. Source: Alexandria, functional PBE-GGA.

Cell lengths 3.398, 3.398, 9.639 Å; angles 90.00, 90.00, 90.00 degrees
Element x y z (fractional)
Ce 0.000 0.000 0.000
Pr 0.000 0.000 0.500
Pu 0.500 0.500 0.224
Pu 0.500 0.500 0.776

DOS(E_F): 14.44 states/eV/cell
Energy above the most stable polymorph in this dataset: 0.000 eV per atom



No. 4
PrNdMgHg after structural relaxation. Source: Alexandria, functional PBE-GGA.

Cell lengths 3.887, 3.887, 7.677 Å; angles 90.00, 90.00, 90.00 degrees
Element x y z (fractional)
Pr 0.000 0.000 0.000
Nd 0.000 0.000 0.503
Mg 0.500 0.500 0.254
Hg 0.500 0.500 0.746

DOS(E_F): 5.36 states/eV/cell
Energy above the most stable polymorph in this dataset: 0.000 eV per atom